[1]
Cu2PN | the Alexandria database | PBE | relaxed; uncorrected formation energy = 13.6 kcal/mol of atoms
1.0
4.976 0.000 0.000
0.000 4.976 0.000
0.000 0.000 8.860
Cu P N
8 4 4
Direct
0.185 0.250 0.125
0.250 0.685 0.375
0.250 0.815 0.875
0.315 0.250 0.625
0.685 0.750 0.625
0.750 0.185 0.875
0.750 0.315 0.375
0.815 0.750 0.125
0.000 0.000 0.500
0.000 0.500 0.750
0.500 0.000 0.250
0.500 0.500 0.000
0.000 0.000 0.000
0.000 0.500 0.250
0.500 0.000 0.750
0.500 0.500 0.500

[2]
Ce2CdN | the Alexandria database | PBE | relaxed; uncorrected formation energy = -12.1 kcal/mol of atoms
1.0
3.076 0.000 0.000
0.000 3.076 0.000
0.000 0.000 8.242
Ce Cd N
2 1 1
Direct
0.000 0.000 0.176
0.000 0.000 0.824
0.500 0.500 0.500
0.500 0.500 0.000